Entry 1:
VASP calculation (GGA-PBE) on a relaxed Tm3NbC3 crystal.

Cell: 5.0294 6.8638 6.8638 Å, 95.99 90.00 90.00°
Element x y z (fractional)
Tm  0.7500  0.8511  0.6109
Tm  0.7500  0.3891  0.1489
Tm  0.2500  0.6109  0.8511
Tm  0.2500  0.1127  0.8873
Tm  0.2500  0.1489  0.3891
Tm  0.7500  0.8873  0.1127
C  0.7500  0.1295  0.8705
C  0.2500  0.3978  0.1577
C  0.7500  0.1577  0.3978
C  0.7500  0.6022  0.8423
C  0.2500  0.8423  0.6022
C  0.2500  0.8705  0.1295
Nb  0.2500  0.6731  0.3269
Nb  0.7500  0.3269  0.6731

Density   9.0 g/cm³
Calculated total energy   -7.659 eV/atom

---

Entry 2:
VASP calculation (GGA-PBE) on a relaxed Tm2NbC crystal.

Cell: 3.3365 3.3365 9.0088 Å, 79.33 79.33 60.00°
Element x y z (fractional)
Nb  0.0000  0.0000  0.0000
Tm  0.8846  0.8846  0.3462
Tm  0.1154  0.1154  0.6538
C  0.5000  0.5000  0.5000

Density   8.7 g/cm³
Calculated total energy   -6.761 eV/atom